Material: CaCe2Ag2Ge2
Method: DFT, GGA-PBE
State: optimized geometry

a b c (Å): 9.4974 9.4974 9.4974
angles (deg): 27.51 27.51 27.51
Last column: nearest neighbours and their distance in Å.
Positions (direct):
Ca  0.0000  0.0000  0.0000  6 Ag 3.29, 6 Ge 3.33
Ce  0.1409  0.1409  0.1409  3 Ce 2.96, 4 Ge 3.17-3.21, 3 Ag 3.20
Ce  0.8591  0.8591  0.8591  3 Ce 2.96, 4 Ge 3.17-3.21, 3 Ag 3.20
Ag  0.4063  0.4063  0.4063  3 Ge 2.61
Ag  0.5937  0.5937  0.5937  3 Ge 2.61
Ge  0.2579  0.2579  0.2579  3 Ag 2.61
Ge  0.7421  0.7421  0.7421  3 Ag 2.61

The value obtained for the formation energy is -386 meV per atom. Its crystal system is trigonal.

---

Material: PrHoHgTe
Method: DFT, GGA-PBE
State: optimized geometry

a b c (Å): 8.1879 8.1879 8.1879
angles (deg): 30.06 30.06 30.06
Last column: nearest neighbours and their distance in Å.
Positions (direct):
Pr  0.0000  0.0000  0.0000  3 Hg 3.20, 3 Te 3.20
Ho  0.4997  0.4997  0.4997  3 Te 3.07, 3 Hg 3.08
Hg  0.2457  0.2457  0.2457  3 Ho 3.08, 3 Pr 3.20
Te  0.7544  0.7544  0.7544  3 Ho 3.07, 3 Pr 3.20

As for the uncorrected formation energy: -0.876 eV/atom. Its crystal system is trigonal.

---

Material: Pm7BiAs5
Method: DFT, GGA-PBE
State: optimized geometry

a b c (Å): 7.3104 7.3104 25.1009
angles (deg): 90.00 90.00 145.98
Last column: nearest neighbours and their distance in Å.
Positions (direct):
Pm  0.0316  0.9684  0.7500  2 As 2.89, 2 Bi 3.20
Pm  0.1362  0.8638  0.0346  6 As 2.98-3.01
Pm  0.1362  0.8638  0.4654  6 As 2.98-3.01
Pm  0.3252  0.6748  0.6729  3 As 2.86-2.92
Pm  0.3252  0.6748  0.8271  3 As 2.86-2.92
Pm  0.4086  0.5914  0.1044  5 As 2.92-3.01
Pm  0.4086  0.5914  0.3956  5 As 2.92-3.01
Pm  0.5914  0.4086  0.6044  5 As 2.92-3.01
Pm  0.5914  0.4086  0.8956  5 As 2.92-3.01
Pm  0.6748  0.3252  0.1729  3 As 2.86-2.92
Pm  0.6748  0.3252  0.3271  3 As 2.86-2.92
Pm  0.8638  0.1362  0.5346  6 As 2.98-3.01
Pm  0.8638  0.1362  0.9654  6 As 2.98-3.01
Pm  0.9684  0.0316  0.2500  2 As 2.89, 2 Bi 3.20
Bi  0.2980  0.7020  0.2500  6 Pm 3.20-3.36
Bi  0.7020  0.2980  0.7500  6 Pm 3.20-3.36
As  0.0431  0.9569  0.1426  6 Pm 2.89-3.01
As  0.0431  0.9569  0.3574  6 Pm 2.89-3.01
As  0.2281  0.7719  0.5726  6 Pm 2.86-3.01
As  0.2281  0.7719  0.9274  6 Pm 2.86-3.01
As  0.5000  0.5000  0.0000  6 Pm 2.92-2.99
As  0.5000  0.5000  0.5000  6 Pm 2.92-2.99
As  0.7719  0.2281  0.0726  6 Pm 2.86-3.01
As  0.7719  0.2281  0.4274  6 Pm 2.86-3.01
As  0.9569  0.0431  0.6426  6 Pm 2.89-3.01
As  0.9569  0.0431  0.8574  6 Pm 2.89-3.01

The value obtained for the formation energy is -1343 meV per atom. Its crystal system is orthorhombic.

---

Material: PrSeBr
Method: DFT, GGA-PBE
State: optimized geometry

a b c (Å): 3.9983 4.3930 11.7088
angles (deg): 89.61 89.47 90.00
Last column: nearest neighbours and their distance in Å.
Positions (direct):
Pr  0.2454  0.2469  0.1655  2 Br 2.95, 5 Se 3.07-3.08
Pr  0.7546  0.7531  0.8345  2 Br 2.95, 5 Se 3.07-3.08
Se  0.2529  0.2518  0.9027  5 Pr 3.07-3.08
Se  0.7471  0.7482  0.0973  5 Pr 3.07-3.08
Br  0.2593  0.7569  0.6493  2 Pr 2.95
Br  0.7407  0.2431  0.3507  2 Pr 2.95

As for the uncorrected formation energy: -1.873 eV/atom. Its crystal system is triclinic.

---

Material: TaAg3
Method: DFT, GGA-PBE
State: optimized geometry

a b c (Å): 4.6325 4.6325 4.6325
angles (deg): 60.00 60.00 60.00
Last column: nearest neighbours and their distance in Å.
Positions (direct):
Ta  0.0000  0.0000  0.0000  8 Ag 2.84
Ag  0.2500  0.2500  0.2500  4 Ta 2.84, 4 Ag 2.84
Ag  0.5000  0.5000  0.5000  8 Ag 2.84
Ag  0.7500  0.7500  0.7500  4 Ag 2.84, 4 Ta 2.84

The value obtained for the formation energy is 468 meV per atom. Its crystal system is cubic.

---

Material: SrAgSe2N
Method: DFT, GGA-PBE
State: optimized geometry

a b c (Å): 5.3115 5.3115 4.1522
angles (deg): 90.00 90.00 90.00
Last column: nearest neighbours and their distance in Å.
Positions (direct):
Sr  0.0000  0.0000  0.0000  8 Se 3.37, 4 N 3.76
Ag  0.5000  0.5000  0.5000  2 N 2.08
Se  0.0000  0.5000  0.5000  2 Ag 2.66
Se  0.5000  0.0000  0.5000  2 Ag 2.66
N  0.5000  0.5000  0.0000  2 Ag 2.08

As for the uncorrected formation energy: 0.097 eV/atom. The offset from the most stable computed form comes out at 0 meV/atom. Its crystal system is tetragonal.

---

Material: ZrMn2Al
Method: DFT, GGA-PBE
State: optimized geometry

a b c (Å): 5.2229 5.2229 5.2229
angles (deg): 146.54 131.11 60.54
Last column: nearest neighbours and their distance in Å.
Positions (direct):
Zr  0.0000  0.0000  0.0000  6 Mn 2.64-2.83, 4 Al 2.93-2.94
Mn  0.5186  0.5186  0.0000  2 Mn 2.46, 2 Al 2.63, 4 Zr 2.64
Mn  0.7345  0.2345  0.5000  2 Mn 2.46, 4 Al 2.66
Al  0.2788  0.7788  0.5000  6 Mn 2.63-2.66, 4 Zr 2.93-2.94

The value obtained for the formation energy is -114 meV per atom. Its crystal system is orthorhombic.

---

Material: SmLu2In
Method: DFT, GGA-PBE
State: optimized geometry

a b c (Å): 5.4035 5.4035 5.4035
angles (deg): 60.00 60.00 60.00
Last column: nearest neighbours and their distance in Å.
Positions (direct):
Sm  0.0000  0.0000  0.0000  8 Lu 3.31
Lu  0.2500  0.2500  0.2500  4 In 3.31, 4 Sm 3.31
Lu  0.7500  0.7500  0.7500  4 Sm 3.31, 4 In 3.31
In  0.5000  0.5000  0.5000  8 Lu 3.31

The offset from the most stable computed form comes out at 189 meV/atom. The value obtained for the formation energy is -64 meV per atom. Its crystal system is cubic.

---

Material: LaYPd
Method: DFT, GGA-PBE
State: optimized geometry

a b c (Å): 5.0261 5.0261 5.0261
angles (deg): 60.00 60.00 60.00
Last column: nearest neighbours and their distance in Å.
Positions (direct):
La  0.0000  0.0000  0.0000  4 Pd 3.08
Y  0.5000  0.5000  0.5000  4 Pd 3.08
Pd  0.2500  0.2500  0.2500  4 La 3.08, 4 Y 3.08

The offset from the most stable computed form comes out at 155 meV/atom. The value obtained for the formation energy is -409 meV per atom. Its crystal system is cubic.

---

Material: CdCu2Ir
Method: DFT, GGA-PBE
State: optimized geometry

a b c (Å): 4.3767 4.3767 4.3767
angles (deg): 60.00 60.00 60.00
Last column: nearest neighbours and their distance in Å.
Positions (direct):
Cd  0.0000  0.0000  0.0000  4 Ir 2.68, 4 Cu 2.68
Cu  0.2500  0.2500  0.2500  4 Cd 2.68, 4 Cu 2.68
Cu  0.5000  0.5000  0.5000  4 Ir 2.68, 4 Cu 2.68
Ir  0.7500  0.7500  0.7500  4 Cd 2.68, 4 Cu 2.68

The value obtained for the formation energy is 221 meV per atom. Its crystal system is cubic.

---

Material: PrThHgBi
Method: DFT, GGA-PBE
State: optimized geometry

a b c (Å): 5.5327 5.5327 5.5327
angles (deg): 60.00 60.00 60.00
Last column: nearest neighbours and their distance in Å.
Positions (direct):
Pr  0.0000  0.0000  0.0000  4 Bi 3.39, 4 Hg 3.39
Th  0.5000  0.5000  0.5000  4 Bi 3.39, 4 Hg 3.39
Hg  0.2500  0.2500  0.2500  4 Th 3.39, 4 Pr 3.39
Bi  0.7500  0.7500  0.7500  4 Th 3.39, 4 Pr 3.39

The value obtained for the formation energy is -405 meV per atom. Its crystal system is cubic.

---

Material: Al2In2GaRh5
Method: DFT, GGA-PBE
State: optimized geometry

a b c (Å): 10.0807 10.0807 3.1174
angles (deg): 90.00 90.00 90.00
Last column: nearest neighbours and their distance in Å.
Positions (direct):
Al  0.1336  0.3664  0.0000  6 Rh 2.45-2.46
Al  0.3664  0.8664  0.0000  6 Rh 2.45-2.46
Al  0.6336  0.1336  0.0000  6 Rh 2.45-2.46
Al  0.8664  0.6336  0.0000  6 Rh 2.45-2.46
In  0.1671  0.6671  0.0000  3 Al 2.84-3.05, 6 Rh 2.85-2.88, 2 In 3.12
In  0.3329  0.1671  0.0000  3 Al 2.84-3.05, 6 Rh 2.85-2.88, 2 In 3.12
In  0.6671  0.8329  0.0000  3 Al 2.84-3.05, 6 Rh 2.85-2.88, 2 In 3.12
In  0.8329  0.3329  0.0000  3 Al 2.84-3.05, 6 Rh 2.85-2.88, 2 In 3.12
Ga  0.0000  0.0000  0.0000  8 Rh 2.60
Ga  0.5000  0.5000  0.0000  8 Rh 2.60
Rh  0.0000  0.5000  0.5000  4 Al 2.46
Rh  0.0932  0.1836  0.5000  2 Al 2.45, 2 Ga 2.60
Rh  0.1836  0.9068  0.5000  2 Al 2.45, 2 Ga 2.60
Rh  0.3164  0.4068  0.5000  2 Al 2.45, 2 Ga 2.60
Rh  0.4068  0.6836  0.5000  2 Al 2.45, 2 Ga 2.60
Rh  0.5000  0.0000  0.5000  4 Al 2.46
Rh  0.5932  0.3164  0.5000  2 Al 2.45, 2 Ga 2.60
Rh  0.6836  0.5932  0.5000  2 Al 2.45, 2 Ga 2.60
Rh  0.8164  0.0932  0.5000  2 Al 2.45, 2 Ga 2.60
Rh  0.9068  0.8164  0.5000  2 Al 2.45, 2 Ga 2.60

The value obtained for the formation energy is -532 meV per atom. Its crystal system is tetragonal.

---

Material: Rb2CaIO6
Method: DFT, GGA-PBE
State: optimized geometry

a b c (Å): 6.0616 6.0616 6.0616
angles (deg): 60.00 60.00 60.00
Last column: nearest neighbours and their distance in Å.
Positions (direct):
Rb  0.2500  0.2500  0.2500  12 O 3.04
Rb  0.7500  0.7500  0.7500  12 O 3.04
Ca  0.0000  0.0000  0.0000  6 O 2.38
I  0.5000  0.5000  0.5000  6 O 1.90
O  0.2781  0.2781  0.7219  1 I 1.90
O  0.2781  0.7219  0.2781  1 I 1.90
O  0.2781  0.7219  0.7219  1 I 1.90
O  0.7219  0.2781  0.2781  1 I 1.90
O  0.7219  0.2781  0.7219  1 I 1.90
O  0.7219  0.7219  0.2781  1 I 1.90

As for the uncorrected formation energy: -1.338 eV/atom. Its crystal system is cubic.

---

Material: Li3Ho3InTe8
Method: DFT, GGA-PBE
State: optimized geometry

a b c (Å): 8.5901 8.5901 8.5901
angles (deg): 60.04 60.04 60.04
Last column: nearest neighbours and their distance in Å.
Positions (direct):
Li  0.0000  0.5000  0.5000  6 Te 3.01
Li  0.5000  0.0000  0.5000  6 Te 3.01
Li  0.5000  0.5000  0.0000  6 Te 3.01
Ho  0.0000  0.0000  0.5000  6 Te 3.06-3.07
Ho  0.0000  0.5000  0.0000  6 Te 3.06-3.07
Ho  0.5000  0.0000  0.0000  6 Te 3.06-3.07
In  0.5000  0.5000  0.5000  6 Te 3.04
Te  0.2498  0.2498  0.7453  2 Li 3.01, 1 In 3.04, 2 Ho 3.07
Te  0.2498  0.7453  0.2498  2 Li 3.01, 1 In 3.04, 2 Ho 3.07
Te  0.2522  0.2522  0.2522  3 Li 3.01, 3 Ho 3.06
Te  0.2547  0.7502  0.7502  2 Li 3.01, 1 In 3.04, 2 Ho 3.07
Te  0.7453  0.2498  0.2498  2 Li 3.01, 1 In 3.04, 2 Ho 3.07
Te  0.7478  0.7478  0.7478  3 Li 3.01, 3 Ho 3.06
Te  0.7502  0.2547  0.7502  2 Li 3.01, 1 In 3.04, 2 Ho 3.07
Te  0.7502  0.7502  0.2547  2 Li 3.01, 1 In 3.04, 2 Ho 3.07

As for the uncorrected formation energy: -1.018 eV/atom. Its crystal system is trigonal.

---

Material: Sr2InNi
Method: DFT, GGA-PBE
State: optimized geometry

a b c (Å): 6.9966 6.9966 6.9966
angles (deg): 102.85 102.85 123.72
Last column: nearest neighbours and their distance in Å.
Positions (direct):
Sr  0.0581  0.6250  0.9331  2 Ni 2.83
Sr  0.3750  0.3081  0.4331  2 Ni 2.83
Sr  0.6919  0.1250  0.0669  2 Ni 2.83
Sr  0.8750  0.9419  0.5669  2 Ni 2.83
In  0.2500  0.7500  0.5000  2 Ni 3.30, 8 Sr 3.62-3.67
In  0.5000  0.5000  0.0000  2 Ni 3.30, 8 Sr 3.62-3.67
Ni  0.0000  0.0000  0.0000  4 Sr 2.83
Ni  0.7500  0.2500  0.5000  4 Sr 2.83

The value obtained for the formation energy is 147 meV per atom. Its crystal system is tetragonal.

---

Material: Rb2InSe2
Method: DFT, GGA-PBE
State: optimized geometry

a b c (Å): 8.8193 8.8193 9.2420
angles (deg): 90.08 90.08 35.31
Last column: nearest neighbours and their distance in Å.
Positions (direct):
Rb  0.0190  0.0190  0.2501  4 Se 3.43-3.54
Rb  0.2714  0.2714  0.1767  3 Se 3.45-3.52, 1 In 3.69
Rb  0.7286  0.7286  0.8233  3 Se 3.45-3.52, 1 In 3.69
Rb  0.9810  0.9810  0.7499  4 Se 3.43-3.54
In  0.3273  0.3273  0.5625  4 Se 2.67-2.90
In  0.6727  0.6727  0.4375  4 Se 2.67-2.90
Se  0.1551  0.1551  0.5427  3 In 2.86-2.90
Se  0.3639  0.3639  0.8432  1 In 2.67
Se  0.6361  0.6361  0.1568  1 In 2.67
Se  0.8449  0.8449  0.4573  3 In 2.86-2.90

As for the uncorrected formation energy: -0.887 eV/atom. The offset from the most stable computed form comes out at 0 meV/atom. Its crystal system is monoclinic.

---

Material: DySn3Se6
Method: DFT, GGA-PBE
State: optimized geometry

a b c (Å): 11.7343 4.0471 12.4896
angles (deg): 90.00 111.84 90.00
Last column: nearest neighbours and their distance in Å.
Positions (direct):
Dy  0.2080  0.2500  0.0475  8 Se 2.97-3.05
Dy  0.7920  0.7500  0.9525  8 Se 2.97-3.05
Sn  0.0395  0.7500  0.2728  6 Se 2.69-2.91
Sn  0.3419  0.2500  0.4493  3 Se 2.76-2.86
Sn  0.3875  0.7500  0.8336  6 Se 2.80-3.11
Sn  0.6125  0.2500  0.1664  6 Se 2.80-3.11
Sn  0.6581  0.7500  0.5507  3 Se 2.76-2.86
Sn  0.9605  0.2500  0.7272  6 Se 2.69-2.91
Se  0.0237  0.7500  0.9078  2 Sn 2.91, 3 Dy 2.97-3.00
Se  0.0920  0.2500  0.4317  3 Sn 2.74-2.86
Se  0.2144  0.2500  0.8056  3 Sn 2.77-2.80, 1 Dy 3.05
Se  0.2501  0.7500  0.2333  1 Sn 2.69, 2 Dy 2.98
Se  0.3979  0.7500  0.0620  3 Sn 2.81-3.11, 2 Dy 2.97
Se  0.4139  0.7500  0.6117  3 Sn 2.76-2.90
Se  0.5861  0.2500  0.3883  3 Sn 2.76-2.90
Se  0.6021  0.2500  0.9380  3 Sn 2.81-3.11, 2 Dy 2.97
Se  0.7499  0.2500  0.7667  1 Sn 2.69, 2 Dy 2.98
Se  0.7856  0.7500  0.1944  3 Sn 2.77-2.80, 1 Dy 3.05
Se  0.9080  0.7500  0.5683  3 Sn 2.74-2.86
Se  0.9763  0.2500  0.0922  2 Sn 2.91, 3 Dy 2.97-3.00

As for the uncorrected formation energy: -0.707 eV/atom. Its crystal system is monoclinic.

---

Material: DyMnSi2
Method: DFT, GGA-PBE
State: optimized geometry

a b c (Å): 5.4292 5.4292 5.4292
angles (deg): 42.72 42.72 42.72
Last column: nearest neighbours and their distance in Å.
Positions (direct):
Dy  0.0000  0.0000  0.0000  8 Si 2.95-3.06
Mn  0.5000  0.5000  0.5000  6 Si 2.36
Si  0.2074  0.2074  0.2074  3 Mn 2.36, 3 Si 2.58
Si  0.7926  0.7926  0.7926  3 Mn 2.36, 3 Si 2.58

As for the uncorrected formation energy: -0.543 eV/atom. Its crystal system is trigonal.

---

Material: Sm3Mg2Ag4
Method: DFT, GGA-PBE
State: optimized geometry

a b c (Å): 6.0298 6.0298 9.1487
angles (deg): 117.19 117.19 47.85
Last column: nearest neighbours and their distance in Å.
Positions (direct):
Sm  0.0000  0.0000  0.0000  8 Ag 3.31-3.38, 2 Sm 3.45, 4 Mg 3.50
Sm  0.3473  0.3473  0.3141  7 Ag 3.14-3.38, 4 Mg 3.29-3.36, 2 Sm 3.38-3.45
Sm  0.6527  0.6527  0.6859  7 Ag 3.14-3.38, 4 Mg 3.29-3.36, 2 Sm 3.38-3.45
Mg  0.3534  0.3534  0.6849  4 Ag 2.82-2.94
Mg  0.6466  0.6466  0.3151  4 Ag 2.82-2.94
Ag  0.0663  0.0663  0.3956  3 Mg 2.82-2.94, 1 Ag 2.93
Ag  0.2771  0.2771  0.9367  1 Mg 2.82, 2 Ag 2.89, 1 Sm 3.14
Ag  0.7229  0.7229  0.0633  1 Mg 2.82, 2 Ag 2.89, 1 Sm 3.14
Ag  0.9337  0.9337  0.6044  3 Mg 2.82-2.94, 1 Ag 2.93

The offset from the most stable computed form comes out at 0 meV/atom. The value obtained for the formation energy is -239 meV per atom. Its crystal system is monoclinic.

---

Material: CaCS2Cl
Method: DFT, GGA-PBE
State: optimized geometry

a b c (Å): 5.4223 5.4223 5.1645
angles (deg): 90.00 90.00 90.00
Last column: nearest neighbours and their distance in Å.
Positions (direct):
Ca  0.0000  0.0000  0.0000  2 Cl 2.58, 4 S 2.71
C  0.5000  0.5000  0.5000  8 S 3.74, 4 Cl 3.83
S  0.0000  0.5000  0.0000  2 Ca 2.71
S  0.5000  0.0000  0.0000  2 Ca 2.71
Cl  0.0000  0.0000  0.5000  2 Ca 2.58

As for the uncorrected formation energy: 1.313 eV/atom. The offset from the most stable computed form comes out at 1272 meV/atom. Its crystal system is tetragonal.